Version P
Material: La2I2O
Method: DFT, PBE
State: optimized geometry

Geometry as POSCAR:
```
La2I2O
1.0
-2.978 2.978 5.016
2.978 -2.978 5.016
2.978 2.978 -5.016
La I O
2 2 1
direct
0.250 0.750 0.500
0.750 0.250 0.500
0.169 0.169 0.000
0.831 0.831 0.000
0.500 0.500 0.000
```

## Properties
Calculated volume   35.6 Å³/atom
DOS(E_F)   2.958 states/eV/f.u.



Version Q
Material: La2I2O
Method: DFT, PBE
State: optimized geometry

Geometry as POSCAR:
```
La2I2O
1.0
8.519 0.000 0.000
0.000 8.519 0.000
0.000 0.000 4.053
La I O
4 4 2
direct
0.162 0.338 0.000
0.338 0.838 0.000
0.662 0.162 0.000
0.838 0.662 0.000
0.139 0.639 0.500
0.361 0.139 0.500
0.639 0.861 0.500
0.861 0.361 0.500
0.000 0.000 0.500
0.500 0.500 0.500
```

## Properties
Calculated volume   29.4 Å³/atom
DOS(E_F)   3.461 states/eV/f.u.



Most stable one: version Q, least stable one: version P.



Version P
Material: LaIO4
Method: DFT, PBE
State: optimized geometry

Geometry as POSCAR:
```
LaIO4
1.0
5.674 0.000 0.000
0.000 5.563 0.000
-0.803 0.000 5.690
La I O
2 2 8
direct
0.000 0.000 0.000
0.000 0.500 0.500
0.500 0.000 0.500
0.500 0.500 0.000
0.188 0.159 0.374
0.188 0.341 0.874
0.343 0.705 0.265
0.343 0.795 0.765
0.657 0.205 0.235
0.657 0.295 0.735
0.812 0.659 0.126
0.812 0.841 0.626
```

## Properties
Calculated volume   15.0 Å³/atom



Version Q
Material: LaIO4
Method: DFT, PBE
State: optimized geometry

Geometry as POSCAR:
```
LaIO4
1.0
-3.684 3.684 3.617
3.684 -3.684 3.617
3.684 3.684 -3.617
La I O
2 2 8
direct
0.000 0.000 0.000
0.750 0.250 0.500
0.255 0.755 0.500
0.505 0.505 0.000
0.206 0.487 0.719
0.237 0.018 0.781
0.237 0.456 0.219
0.269 0.948 0.321
0.627 0.948 0.679
0.698 0.519 0.821
0.698 0.877 0.179
0.768 0.487 0.281
```

## Properties
Calculated volume   16.4 Å³/atom
DOS(E_F)   0.000 states/eV/f.u.



Most stable one: version Q, least stable one: version P.



Version P
Material: LaOsIO2
Method: DFT, PBE
State: optimized geometry

Geometry as POSCAR:
```
LaOsIO2
1.0
4.241 0.000 0.000
0.000 4.241 0.000
0.000 0.000 7.285
La Os I O
1 1 1 2
direct
0.000 0.000 0.000
0.500 0.500 0.500
0.000 0.000 0.500
0.000 0.500 0.000
0.500 0.000 0.000
```

## Properties
Calculated volume   26.2 Å³/atom
DOS(E_F)   6.467 states/eV/f.u.



Version Q
Material: LaOsIO2
Method: DFT, PBE
State: optimized geometry

Geometry as POSCAR:
```
LaOsIO2
1.0
4.208 0.000 0.000
0.000 4.208 0.000
0.000 0.000 5.331
La Os I O
1 1 1 2
direct
0.000 0.000 0.000
0.500 0.500 0.500
0.500 0.500 0.000
0.000 0.500 0.500
0.500 0.000 0.500
```

## Properties
Calculated volume   18.9 Å³/atom
DOS(E_F)   5.357 states/eV/f.u.



Most stable one: version Q, least stable one: version P.



Version P
Material: LaPI2O
Method: DFT, PBE
State: optimized geometry

Geometry as POSCAR:
```
LaPI2O
1.0
6.558 0.000 0.000
0.000 6.558 0.000
0.000 0.000 4.287
La P I O
1 1 2 1
direct
0.000 0.000 0.000
0.500 0.500 0.500
0.000 0.500 0.000
0.500 0.000 0.000
0.000 0.000 0.500
```

## Properties
Calculated volume   36.9 Å³/atom
DOS(E_F)   4.631 states/eV/f.u.



Version Q
Material: LaPI2O
Method: DFT, PBE
State: optimized geometry

Geometry as POSCAR:
```
LaPI2O
1.0
5.918 0.000 0.000
0.000 5.918 0.000
0.000 0.000 3.660
La P I O
1 1 2 1
direct
0.000 0.000 0.000
0.500 0.500 0.500
0.000 0.500 0.500
0.500 0.000 0.500
0.500 0.500 0.000
```

## Properties
Calculated volume   25.6 Å³/atom
DOS(E_F)   4.354 states/eV/f.u.



Most stable one: version P, least stable one: version Q.



Version P
Material: LaP2IO
Method: DFT, PBE
State: optimized geometry

Geometry as POSCAR:
```
LaP2IO
1.0
6.023 0.000 0.000
0.000 6.023 0.000
0.000 0.000 4.285
La P I O
1 2 1 1
direct
0.000 0.000 0.000
0.000 0.500 0.000
0.500 0.000 0.000
0.500 0.500 0.500
0.000 0.000 0.500
```

## Properties
Calculated volume   31.1 Å³/atom
DOS(E_F)   5.706 states/eV/f.u.



Version Q
Material: LaP2IO
Method: DFT, PBE
State: optimized geometry

Geometry as POSCAR:
```
LaP2IO
1.0
5.129 0.000 0.000
0.000 5.129 0.000
0.000 0.000 4.166
La P I O
1 2 1 1
direct
0.000 0.000 0.000
0.000 0.500 0.500
0.500 0.000 0.500
0.500 0.500 0.500
0.500 0.500 0.000
```

## Properties
Calculated volume   21.9 Å³/atom
DOS(E_F)   1.333 states/eV/f.u.



Most stable one: version Q, least stable one: version P.



Version P
Material: LaPbIO2
Method: DFT, PBE
State: optimized geometry

Geometry as POSCAR:
```
LaPbIO2
1.0
4.539 0.000 0.000
0.000 4.539 0.000
0.000 0.000 5.983
La Pb I O
1 1 1 2
direct
0.000 0.000 0.000
0.500 0.500 0.500
0.500 0.500 0.000
0.000 0.500 0.500
0.500 0.000 0.500
```

## Properties
Calculated volume   24.6 Å³/atom
DOS(E_F)   3.846 states/eV/f.u.



Version Q
Material: LaPbIO2
Method: DFT, PBE
State: optimized geometry

Geometry as POSCAR:
```
LaPbIO2
1.0
4.628 0.000 0.000
0.000 4.628 0.000
0.000 0.000 6.429
La Pb I O
1 1 1 2
direct
0.000 0.000 0.000
0.500 0.500 0.500
0.000 0.000 0.500
0.000 0.500 0.000
0.500 0.000 0.000
```

## Properties
Calculated volume   27.5 Å³/atom
DOS(E_F)   3.016 states/eV/f.u.



Most stable one: version Q, least stable one: version P.